Material: ScAl4Pb
Method: DFT, PBE
State: relaxed

Computed properties:
theoretical density = 5.0 g/cm3
E = -4.284 eV per atom
DOS at the Fermi energy = 3.71 states/eV/f.u.
total magnetization = 0.00 μB/f.u.
formation enthalpy at 0 K = -0.69 eV/f.u.

Cell lengths 5.5135, 5.5135, 5.5135 Å; angles 60.00, 60.00, 60.00 degrees
With the nearest neighbours (Å) after each atom.
Fractional coordinates of all 6 atoms:
Al: 0.3747 0.3747 0.8760  6 Al 2.75-2.76
Al: 0.3747 0.3747 0.3747  6 Al 2.75-2.76
Al: 0.8760 0.3747 0.3747  6 Al 2.75-2.76
Al: 0.3747 0.8760 0.3747  6 Al 2.75-2.76
Sc: 0.0000 0.0000 0.0000  12 Al 3.23, 4 Pb 3.38
Pb: 0.7500 0.7500 0.7500  12 Al 3.23, 4 Sc 3.38